# Rb2NaAgCl5 PBE optimized geometry
# Size of the total moment: 0.103 μB/atom
# Uncorrected formation energy: -1.36 eV per atom
# Theoretical density: 2.9 g cm⁻³
# Electronic total energy: -3.066 eV per atom
data_Rb2NaAgCl5
_cell_length_a 4.3622
_cell_length_b 9.1899
_cell_length_c 14.0549
_cell_angle_alpha 90.00
_cell_angle_beta 90.00
_cell_angle_gamma 103.73
_symmetry_space_group_name_H-M 'P 1'
_symmetry_Int_Tables_number 1
_symmetry_space_group_name_Hall 'P 1'
loop_
_atom_site_label
_atom_site_fract_x
_atom_site_fract_y
_atom_site_fract_z
_atom_site_occupancy
Rb1 0.8467 0.6934 0.8050 1
Cl1 0.7237 0.4473 0.1505 1
Cl2 0.4823 0.9647 0.7737 1
Rb2 0.8987 0.7974 0.1877 1
Cl3 0.3857 0.7714 0.9923 1
Cl4 0.6578 0.3156 0.8919 1
Cl5 0.6143 0.2286 0.4923 1
Cl6 0.3422 0.6844 0.3919 1
Rb3 0.1533 0.3066 0.3050 1
Na1 0.1986 0.3971 0.0300 1
Ag1 0.5223 0.0446 0.9457 1
Cl7 0.2763 0.5527 0.6505 1
Ag2 0.4777 0.9554 0.4457 1
Cl8 0.5177 0.0353 0.2737 1
Cl9 0.9536 0.9071 0.5471 1
Cl10 0.0464 0.0929 0.0471 1
Rb4 0.1013 0.2026 0.6877 1
Na2 0.8014 0.6029 0.5300 1



# TbPmSmZn PBE optimized geometry
# Size of the total moment: 0.000 μB/atom
# Theoretical density: 7.7 g cm⁻³
# Formation energy: 74 meV/atom
# E above lowest polymorph: 232.7 meV/atom
# Electronic total energy: -3.770 eV per atom
data_TbPmSmZn
_cell_length_a 5.4137
_cell_length_b 5.4137
_cell_length_c 5.4137
_cell_angle_alpha 60.00
_cell_angle_beta 60.00
_cell_angle_gamma 60.00
_symmetry_space_group_name_H-M 'P 1'
_symmetry_Int_Tables_number 1
_symmetry_space_group_name_Hall 'P 1'
loop_
_atom_site_label
_atom_site_fract_x
_atom_site_fract_y
_atom_site_fract_z
_atom_site_occupancy
Zn1 0.7500 0.7500 0.7500 1
Pm1 0.2500 0.2500 0.2500 1
Sm1 0.0000 0.0000 0.0000 1
Tb1 0.5000 0.5000 0.5000 1



# ScCl PBE optimized geometry
# Size of the total moment: 0.377 μB/atom
# Uncorrected formation energy: -1.37 eV per atom
# Theoretical density: 2.7 g cm⁻³
# Electronic total energy: -5.454 eV per atom
data_ScCl
_cell_length_a 3.4705
_cell_length_b 3.4705
_cell_length_c 9.5664
_cell_angle_alpha 90.00
_cell_angle_beta 90.00
_cell_angle_gamma 120.00
_symmetry_space_group_name_H-M 'P 1'
_symmetry_Int_Tables_number 1
_symmetry_space_group_name_Hall 'P 1'
loop_
_atom_site_label
_atom_site_fract_x
_atom_site_fract_y
_atom_site_fract_z
_atom_site_occupancy
Cl1 0.0000 0.0000 0.9318 1
Sc1 0.6667 0.3333 0.7581 1
Cl2 0.6667 0.3333 0.3182 1
Sc2 0.0000 0.0000 0.4919 1